Material: Ac4Bi2N
Method: DFT, PBE
State: relaxed

Properties
Raw formation energy: -0.808 eV/atom
Excess energy over the best structure of this formula in the dataset: 4.0 kJ/mol of atoms

Lattice parameters (Å, degrees): 5.1633 5.1633 18.0451 90.00 90.00 90.00
Closest atoms and distances in Å follow each position.
Space group I4/mmm (No. 139)
Inequivalent atoms, fractional coordinates:
Ac 0.0000 0.0000 0.1666  1 N 3.01
Ac 0.0000 0.5000 0.0000  2 N 2.58
Bi 0.0000 0.0000 0.3588  9 Ac 3.47-3.68
N 0.0000 0.0000 0.0000  4 Ac 2.58

Material: HgGeBi
Method: DFT, PBE
State: relaxed

Properties
E_form: 0.1455 eV/atom
Excess energy over the best structure of this formula in the dataset: 2.1 kJ/mol of atoms

Lattice parameters (Å, degrees): 11.6760 5.8131 5.6592 90.00 118.82 90.00
Closest atoms and distances in Å follow each position.
Space group C2/m (No. 12)
Inequivalent atoms, fractional coordinates:
Hg 0.1691 0.0000 0.4166  2 Ge 2.84
Ge 0.1473 0.0000 0.8947  2 Hg 2.84, 3 Bi 2.90-3.01
Bi 0.0693 0.5000 0.8193  3 Ge 2.90-3.01, 2 Bi 3.16-3.17

Material: Pm8Pr2Y
Method: DFT, PBE
State: relaxed

Properties
E_form: 0.0139 eV/atom
Excess energy over the best structure of this formula in the dataset: 0.0 kJ/mol of atoms

Lattice parameters (Å, degrees): 18.6247 5.1733 8.1808 90.00 105.28 90.00
Closest atoms and distances in Å follow each position.
Space group C2/m (No. 12)
Inequivalent atoms, fractional coordinates:
Pm 0.0451 0.0000 0.2280  9 Pm 3.63-3.67, 2 Y 3.65, 1 Pr 3.65
Pm 0.0899 0.5000 0.9529  8 Pm 3.63-3.67, 1 Y 3.64, 3 Pr 3.67
Pm 0.1356 0.0000 0.6795  7 Pm 3.63-3.67, 2 Y 3.64, 3 Pr 3.67-3.68
Pm 0.1812 0.5000 0.4090  1 Y 3.64, 8 Pm 3.65-3.67, 3 Pr 3.66
Pr 0.2270 0.0000 0.1372  10 Pm 3.65-3.68, 2 Pr 3.67
Y 0.0000 0.5000 0.5000  12 Pm 3.64-3.65

Material: NdHo2Co
Method: DFT, PBE
State: relaxed

Properties
E_form: -0.1157 eV/atom
Excess energy over the best structure of this formula in the dataset: 2.1 kJ/mol of atoms

Lattice parameters (Å, degrees): 3.6514 12.1650 9.4684 90.00 90.00 90.00
Closest atoms and distances in Å follow each position.
Space group Cmcm (No. 63)
Inequivalent atoms, fractional coordinates:
Nd 0.0000 0.0825 0.2500  2 Co 2.79
Ho 0.0000 0.3578 0.0730  2 Co 2.77
Co 0.0000 0.2439 0.7500  4 Ho 2.77, 2 Nd 2.79

Material: InGa14Sn
Method: DFT, PBE
State: relaxed

Properties
E_form: 0.0590 eV/atom

Lattice parameters (Å, degrees): 5.5950 8.6425 14.1427 90.00 90.00 90.00
Closest atoms and distances in Å follow each position.
Space group Amm2 (No. 38)
Inequivalent atoms, fractional coordinates:
In 0.0000 0.0000 0.0000  6 Ga 2.92-2.93
Ga 0.0000 0.2491 0.2664  6 Ga 2.71-2.75
Ga 0.2511 0.2484 0.0993  6 Ga 2.69-2.94, 1 Sn 2.92, 1 In 2.93
Ga 0.2549 0.0000 0.3251  7 Ga 2.71-2.89, 1 Sn 2.91
Ga 0.2557 0.0000 0.8202  7 Ga 2.71-2.88, 1 In 2.92
Ga 0.5000 0.0000 0.1577  6 Ga 2.69-2.74
Ga 0.5000 0.0000 0.6525  6 Ga 2.69-2.74
Ga 0.5000 0.2469 0.9162  6 Ga 2.88-2.94
Sn 0.0000 0.0000 0.5045  6 Ga 2.91-2.92

Material: Ba7Ge2H2
Method: DFT, PBE
State: relaxed

Properties
Total energy: -0.1061 Ha/atom

Lattice parameters (Å, degrees): 10.8463 12.8617 7.4194 90.00 106.38 90.00
Closest atoms and distances in Å follow each position.
Space group C2/m (No. 12)
Inequivalent atoms, fractional coordinates:
Ba 0.0000 0.0000 0.0000  2 H 2.65
Ba 0.1208 0.5000 0.7544  1 H 2.68
Ba 0.2303 0.3290 0.2663  1 H 2.67
Ge 0.0000 0.2892 0.5000  6 Ba 3.32-3.46
H 0.2159 0.0000 0.8998  4 Ba 2.65-2.68

Material: InAsCl2
Method: DFT, PBE
State: relaxed

Properties
Raw formation energy: -0.152 eV/atom
Excess energy over the best structure of this formula in the dataset: 31.5 kJ/mol of atoms

Lattice parameters (Å, degrees): 3.4224 4.5315 5.7986 90.00 90.00 90.00
Closest atoms and distances in Å follow each position.
Space group Pmmm (No. 47)
Inequivalent atoms, fractional coordinates:
In 0.0000 0.0000 0.0000  4 Cl 2.84
As 0.5000 0.0000 0.5000  4 Cl 2.84
Cl 0.0000 0.5000 0.5000  4 As 2.84
Cl 0.5000 0.5000 0.0000  4 In 2.84

Material: InSiP3
Method: DFT, PBE
State: relaxed

Properties
Raw formation energy: 0.587 eV/atom

Lattice parameters (Å, degrees): 4.5922 4.5922 4.5922 90.00 90.00 90.00
Closest atoms and distances in Å follow each position.
Space group Pm-3m (No. 221)
Inequivalent atoms, fractional coordinates:
In 0.0000 0.0000 0.0000  12 P 3.25
Si 0.5000 0.5000 0.5000  6 P 2.30
P 0.0000 0.5000 0.5000  2 Si 2.30

Material: GdThScIn
Method: DFT, PBE
State: relaxed

Properties
E_form: -0.0885 eV/atom

Lattice parameters (Å, degrees): 7.6607 7.6607 7.6607 90.00 90.00 90.00
Closest atoms and distances in Å follow each position.
Space group F-43m (No. 216)
Inequivalent atoms, fractional coordinates:
Gd 0.0000 0.0000 0.0000  4 In 3.32, 4 Sc 3.32
Th 0.0000 0.0000 0.5000  4 Sc 3.32, 4 In 3.32
Sc 0.2500 0.2500 0.7500  4 Gd 3.32, 4 Th 3.32
In 0.2500 0.2500 0.2500  4 Gd 3.32, 4 Th 3.32

Material: Al2SbTeRu
Method: DFT, PBE
State: relaxed

Properties
Raw formation energy: 0.241 eV/atom

Lattice parameters (Å, degrees): 4.7601 4.7601 5.2359 90.00 90.00 90.00
Closest atoms and distances in Å follow each position.
Space group P4/mmm (No. 123)
Inequivalent atoms, fractional coordinates:
Al 0.0000 0.5000 0.0000  2 Ru 2.38
Sb 0.0000 0.0000 0.5000  4 Te 3.37, 8 Al 3.54
Te 0.5000 0.5000 0.5000  2 Ru 2.62
Ru 0.5000 0.5000 0.0000  4 Al 2.38, 2 Te 2.62

Material: LaTb2Pm4
Method: DFT, PBE
State: relaxed

Properties
E_form: 0.0476 eV/atom
Excess energy over the best structure of this formula in the dataset: 0.0 kJ/mol of atoms

Lattice parameters (Å, degrees): 7.1650 8.7571 8.9752 61.21 89.90 78.14
Closest atoms and distances in Å follow each position.
Space group P1 (No. 1)
Inequivalent atoms, fractional coordinates:
La 0.0000 0.0000 0.0000  3 Pm 3.21-3.55, 1 Tb 3.42
La 0.1420 0.4347 0.7132  8 Pm 3.55-3.86, 4 Tb 3.57-3.84, 1 La 3.78
Tb 0.1119 0.5475 0.2739  2 La 3.42-3.57, 6 Pm 3.55-3.72, 2 Tb 3.65-3.72
Tb 0.2855 0.8560 0.4111  8 Pm 3.55-3.83, 3 Tb 3.61-3.87, 2 La 3.72-3.73
Tb 0.3187 0.7253 0.8592  7 Pm 3.41-3.78, 3 Tb 3.61-3.72, 2 La 3.64-3.79
Tb 0.4624 0.1360 0.5657  7 Pm 3.39-3.76, 3 Tb 3.65-3.76
Pm 0.4284 0.2754 0.1403  4 Pm 3.23-3.60, 3 Tb 3.39-3.57
Pm 0.4965 0.9981 0.9939  3 Pm 3.23-3.58, 2 Tb 3.42-3.58, 2 La 3.55-3.61
Pm 0.6094 0.5488 0.2758  6 Pm 3.41-3.72, 4 Tb 3.57-3.72
Pm 0.6404 0.4249 0.7246  3 La 3.55-3.72, 7 Pm 3.63-3.87, 3 Tb 3.78-3.86
Pm 0.7810 0.8548 0.4117  4 Tb 3.55-3.87, 7 Pm 3.62-3.83, 2 La 3.74-3.75
Pm 0.8148 0.7262 0.8604  6 Pm 3.40-3.80, 4 Tb 3.56-3.72, 1 La 3.64
Pm 0.9284 0.2790 0.1415  1 La 3.21, 5 Pm 3.38-3.59, 1 Tb 3.55
Pm 0.9671 0.1339 0.5666  4 Pm 3.38-3.78, 1 La 3.47, 5 Tb 3.55-3.75

Material: TcTe2RuN
Method: DFT, PBE
State: relaxed

Properties
Raw formation energy: 0.772 eV/atom
Excess energy over the best structure of this formula in the dataset: 0.0 kJ/mol of atoms

Lattice parameters (Å, degrees): 5.3668 5.3668 3.6240 90.00 90.00 90.00
Closest atoms and distances in Å follow each position.
Space group P4/mmm (No. 123)
Inequivalent atoms, fractional coordinates:
Tc 0.0000 0.0000 0.0000  8 Te 3.24, 2 Tc 3.62
Te 0.0000 0.5000 0.5000  2 Ru 2.68
Ru 0.5000 0.5000 0.5000  2 N 1.81
N 0.5000 0.5000 0.0000  2 Ru 1.81

no.,total magnetization (Bohr magnetons per cell)
1,0.01
2,0.00
3,0.00
4,0.00
5,0.00
6,4.92
7,0.00
8,0.00
9,30.05
10,0.00
11,0.00
12,2.86